Entry 1:
{
  "formula": "Sc2Nb4Au3N3",
  "functional": "PBE",
  "state": "relaxed",
  "lattice_angstrom": [[5.582, 0.000, 0.000], [2.778, 4.842, 0.000], [2.767, 1.602, 13.592]],
  "species": ["Au", "Au", "Au", "Au", "Au", "Au", "N", "N", "N", "N", "N", "N", "Nb", "Nb", "Nb", "Nb", "Nb", "Nb", "Nb", "Nb", "Sc", "Sc", "Sc", "Sc"],
  "fractional_positions": [[0.583, 0.811, 0.250], [0.976, 0.024, 0.250], [0.189, 0.417, 0.250], [0.811, 0.583, 0.750], [0.024, 0.976, 0.750], [0.417, 0.189, 0.750], [0.655, 0.189, 0.000], [0.000, 0.500, 0.000], [0.345, 0.811, 0.000], [0.811, 0.345, 0.500], [0.500, 0.000, 0.500], [0.189, 0.655, 0.500], [0.975, 0.808, 0.078], [0.309, 0.140, 0.078], [0.860, 0.691, 0.422], [0.192, 0.025, 0.422], [0.808, 0.975, 0.578], [0.140, 0.309, 0.578], [0.691, 0.860, 0.922], [0.025, 0.192, 0.922], [0.626, 0.466, 0.104], [0.534, 0.374, 0.396], [0.466, 0.626, 0.604], [0.374, 0.534, 0.896]],
  "magnetic_moment_mub_per_atom": 0.0000
}

Entry 2:
{
  "formula": "GeAsW",
  "functional": "PBE",
  "state": "relaxed",
  "lattice_angstrom": [[0.000, 3.047, 3.047], [3.047, 0.000, 3.047], [3.047, 3.047, 0.000]],
  "species": ["As", "Ge", "W"],
  "fractional_positions": [[0.000, 0.000, 0.000], [0.250, 0.250, 0.250], [0.750, 0.750, 0.750]],
  "magnetic_moment_mub_per_atom": 0.0184
}

Entry 3:
{
  "formula": "LiErNiS3",
  "functional": "PBE",
  "state": "relaxed",
  "lattice_angstrom": [[-1.573, -2.414, -2.335], [4.541, -2.090, -3.843], [2.000, -7.569, 6.478]],
  "species": ["Er", "Er", "Li", "Li", "Ni", "Ni", "S", "S", "S", "S", "S", "S"],
  "fractional_positions": [[0.000, 0.000, 0.000], [0.000, 0.000, 0.500], [0.231, 0.537, 0.250], [0.769, 0.463, 0.750], [0.513, 0.975, 0.250], [0.487, 0.025, 0.750], [0.642, 0.716, 0.090], [0.909, 0.183, 0.250], [0.642, 0.716, 0.410], [0.358, 0.284, 0.590], [0.091, 0.817, 0.750], [0.358, 0.284, 0.910]],
  "magnetic_moment_mub_per_atom": 0.2095
}

Entry 4:
{
  "formula": "NbTc2Bi",
  "functional": "PBE",
  "state": "relaxed",
  "lattice_angstrom": [[0.000, 3.287, 3.287], [3.287, 0.000, 3.287], [3.287, 3.287, 0.000]],
  "species": ["Bi", "Nb", "Tc", "Tc"],
  "fractional_positions": [[0.500, 0.500, 0.500], [0.250, 0.250, 0.250], [0.000, 0.000, 0.000], [0.750, 0.750, 0.750]],
  "magnetic_moment_mub_per_atom": 0.3797
}

Entry 5:
{
  "formula": "Hf2ZrNi4As4",
  "functional": "PBE",
  "state": "relaxed",
  "lattice_angstrom": [[-2.979, 3.343, 4.592], [-2.780, -2.613, 0.098], [3.668, -3.714, 5.052]],
  "species": ["As", "As", "As", "As", "Hf", "Hf", "Ni", "Ni", "Ni", "Ni", "Zr"],
  "fractional_positions": [[0.765, 0.000, 0.123], [0.223, 0.000, 0.363], [0.768, 0.500, 0.620], [0.256, 0.500, 0.895], [0.522, 0.500, 0.306], [0.977, 0.000, 0.819], [0.379, 0.000, 0.060], [0.855, 0.000, 0.440], [0.146, 0.500, 0.555], [0.638, 0.500, 0.940], [0.468, 0.000, 0.682]],
  "magnetic_moment_mub_per_atom": 0.0001
}

Entry 6:
{
  "formula": "Cu7Ag3",
  "functional": "PBE",
  "state": "relaxed",
  "lattice_angstrom": [[-7.984, 4.032, -0.150], [-7.719, 3.716, 2.575], [3.335, 4.619, 0.210]],
  "species": ["Ag", "Ag", "Ag", "Cu", "Cu", "Cu", "Cu", "Cu", "Cu", "Cu"],
  "fractional_positions": [[0.797, 0.797, 0.391], [0.409, 0.409, 0.717], [0.593, 0.593, 0.790], [0.005, 0.005, 0.042], [0.196, 0.196, 0.088], [0.400, 0.400, 0.186], [0.607, 0.607, 0.308], [0.999, 0.999, 0.463], [0.200, 0.200, 0.610], [0.796, 0.796, 0.904]],
  "ef_ev_per_atom": 0.087
}

Entry 7:
{
  "formula": "RbDySb",
  "functional": "PBE",
  "state": "relaxed",
  "lattice_angstrom": [[0.000, 3.788, 3.788], [3.788, 0.000, 3.788], [3.788, 3.788, 0.000]],
  "species": ["Dy", "Rb", "Sb"],
  "fractional_positions": [[0.000, 0.000, 0.000], [0.250, 0.250, 0.250], [0.750, 0.750, 0.750]],
  "magnetic_moment_mub_per_atom": 0.1907
}

Entry 8:
{
  "formula": "KTaIn",
  "functional": "PBE",
  "state": "relaxed",
  "lattice_angstrom": [[-3.747, 0.162, -4.022], [-3.565, -2.685, 3.214], [-2.411, 6.190, 2.496]],
  "species": ["In", "In", "K", "K", "Ta", "Ta"],
  "fractional_positions": [[0.000, 0.000, 0.000], [0.500, 0.500, 0.000], [0.500, 0.000, 0.410], [0.000, 0.500, 0.590], [0.000, 0.500, 0.056], [0.500, 0.000, 0.944]],
  "magnetic_moment_mub_per_atom": 0.3492
}

Entry 9:
{
  "formula": "TbCdGa2",
  "functional": "PBE",
  "state": "relaxed",
  "lattice_angstrom": [[-0.385, -4.621, 1.082], [6.363, -0.342, 0.803], [-3.957, 1.464, 4.843]],
  "species": ["Cd", "Cd", "Ga", "Ga", "Ga", "Ga", "Tb", "Tb"],
  "fractional_positions": [[0.750, 0.314, 0.159], [0.250, 0.159, 0.314], [0.750, 0.840, 0.150], [0.750, 0.835, 0.689], [0.250, 0.689, 0.835], [0.250, 0.150, 0.840], [0.250, 0.679, 0.334], [0.750, 0.334, 0.679]],
  "magnetic_moment_mub_per_atom": 0.0001
}

Entry 10:
{
  "formula": "SmGe2Au4",
  "functional": "PBE",
  "state": "relaxed",
  "lattice_angstrom": [[2.221, -7.127, 0.000], [2.221, 7.127, 0.000], [0.000, 0.000, 4.416]],
  "species": ["Au", "Au", "Au", "Au", "Ge", "Ge", "Sm"],
  "fractional_positions": [[0.680, 0.320, 0.000], [0.320, 0.680, 0.000], [0.823, 0.177, 0.500], [0.177, 0.823, 0.500], [0.586, 0.414, 0.500], [0.414, 0.586, 0.500], [0.000, 0.000, 0.000]],
  "magnetic_moment_mub_per_atom": 0.0004
}

Entry 11:
{
  "formula": "Li2ZrCo",
  "functional": "PBE",
  "state": "relaxed",
  "lattice_angstrom": [[0.730, 2.230, 3.692], [1.213, 4.199, -0.185], [-2.782, 3.137, 1.247]],
  "species": ["Co", "Li", "Li", "Zr"],
  "fractional_positions": [[0.500, 0.500, 0.500], [0.000, 0.000, 0.000], [0.750, 0.750, 0.750], [0.250, 0.250, 0.250]],
  "magnetic_moment_mub_per_atom": 0.0008
}

Entry 12:
{
  "formula": "SnPb2Au",
  "functional": "PBE",
  "state": "relaxed",
  "lattice_angstrom": [[1.284, 3.657, 3.635], [-2.412, 0.001, 4.735], [2.696, -1.415, 4.355]],
  "species": ["Au", "Pb", "Pb", "Sn"],
  "fractional_positions": [[0.250, 0.250, 0.250], [0.000, 0.000, 0.000], [0.750, 0.750, 0.750], [0.500, 0.500, 0.500]]
}

What VASP energy values result from the calculations? In sequence: -195.719 -19.494 -63.096 -32.710 -77.725 -33.618 -9.504 -25.468 -26.518 -29.702 -18.820 -14.387 eV/cell.
What volume values result from the calculations? In sequence: 15.306 18.867 18.925 17.759 16.165 13.713 36.245 35.774 20.850 19.975 14.801 26.529 Å³/atom.